Here is a geometry-optimized Ac3BiS6 structure from Alexandria. Energies are from PBE-GGA.

Structure (extended XYZ):
```
20
Lattice="5.765 -7.219 0.000 5.765 7.219 0.000 0.000 0.000 7.277" Properties=species:S:1:pos:R:3 pbc="T T T"
Ac 5.765 5.761 3.638
Ac 3.598 1.496 3.118
Ac 3.598 -1.496 6.757
Ac 7.932 1.496 3.118
Ac 7.932 -1.496 6.757
Ac 5.765 -5.761 0.000
Bi 5.765 2.502 6.562
Bi 5.765 -2.502 2.924
S 3.896 3.752 5.227
S 1.875 0.296 5.205
S 1.875 -0.296 1.566
S 5.765 3.281 1.963
S 7.634 3.752 5.227
S 5.765 0.193 4.877
S 5.765 -0.193 1.238
S 3.896 -3.752 1.588
S 5.765 -3.281 5.601
S 9.654 0.296 5.205
S 9.654 -0.296 1.566
S 7.634 -3.752 1.588
```

space-group type = Cmc2_1 (36)
volume = 605.6 Å³ per cell
offset from the most stable computed form = 0 meV/atom
uncorrected formation energy = -1720 meV per atom